# LiCdInSn | Alexandria | PBE | optimized geometry
data_LiCdInSn
_cell_length_a 4.4048
_cell_length_b 4.4834
_cell_length_c 4.6350
_cell_angle_alpha 90.00
_cell_angle_beta 90.00
_cell_angle_gamma 90.00
_space_group_name_H-M_alt 'P m m m'
_space_group_IT_number 47
loop_
_space_group_symop_operation_xyz
'x,y,z'
'-x,-y,-z'
'-x,-y,z'
'x,y,-z'
'x,-y,-z'
'-x,y,z'
'-x,y,-z'
'x,-y,z'
loop_
_atom_site_label
_atom_site_fract_x
_atom_site_fract_y
_atom_site_fract_z
Li1 0.0000 0.0000 0.0000
Cd1 0.0000 0.5000 0.5000
In1 0.5000 0.0000 0.5000
Sn1 0.5000 0.5000 0.0000
# E above lowest polymorph: 0.0 meV per atom
# Formation enthalpy at 0 K: -14.1 kJ per mole of atoms
# Theoretical density: 6.4 Mg/m³

# Tm8Th2Tl | Alexandria | PBE | optimized geometry
data_Tm8Th2Tl
_cell_length_a 17.7511
_cell_length_b 4.9327
_cell_length_c 7.7676
_cell_angle_alpha 90.00
_cell_angle_beta 105.42
_cell_angle_gamma 90.00
_space_group_name_H-M_alt 'C 1 2/m 1'
_space_group_IT_number 12
loop_
_space_group_symop_operation_xyz
'x,y,z'
'-x,-y,-z'
'-x,y,-z'
'x,-y,z'
'x+1/2,y+1/2,z'
'-x+1/2,-y+1/2,-z'
'-x+1/2,y+1/2,-z'
'x+1/2,-y+1/2,z'
loop_
_atom_site_label
_atom_site_fract_x
_atom_site_fract_y
_atom_site_fract_z
Tm1 0.0445 0.0000 0.2259
Tm2 0.0916 0.5000 0.9483
Tm3 0.1379 0.0000 0.6810
Tm4 0.1808 0.5000 0.4057
Th1 0.2220 0.0000 0.1296
Tl1 0.0000 0.5000 0.5000
# Formation enthalpy at 0 K: -3.3 kJ per mole of atoms
# Theoretical density: 10.2 Mg/m³

# MgSc2HI | Alexandria | PBE | optimized geometry
data_MgSc2HI
_cell_length_a 5.3485
_cell_length_b 5.3485
_cell_length_c 5.5292
_cell_angle_alpha 90.00
_cell_angle_beta 90.00
_cell_angle_gamma 90.00
_space_group_name_H-M_alt 'P 4/m m m'
_space_group_IT_number 123
_space_group_name_Hall '-P 4 2'
loop_
_atom_site_label
_atom_site_fract_x
_atom_site_fract_y
_atom_site_fract_z
Mg1 0.0000 0.0000 0.0000
Sc1 0.0000 0.5000 0.5000
H1 0.5000 0.5000 0.0000
I1 0.0000 0.0000 0.5000
# Electronic total energy: -2.721 eV/atom
# Theoretical density: 2.5 Mg/m³

# ZrIrRu2 | Alexandria | PBE | optimized geometry
data_ZrIrRu2
_cell_length_a 2.8425
_cell_length_b 2.8425
_cell_length_c 7.8436
_cell_angle_alpha 90.00
_cell_angle_beta 90.00
_cell_angle_gamma 90.00
_space_group_name_H-M_alt 'P 4 m m'
_space_group_IT_number 99
loop_
_space_group_symop_operation_xyz
'x,y,z'
'-y,x,z'
'-x,-y,z'
'y,-x,z'
'-x,y,z'
'y,x,z'
'x,-y,z'
'-y,-x,z'
loop_
_atom_site_label
_atom_site_fract_x
_atom_site_fract_y
_atom_site_fract_z
Zr1 0.0000 0.0000 0.0000
Ir1 0.5000 0.5000 0.2701
Ru1 0.0000 0.0000 0.5056
Ru2 0.5000 0.5000 0.7234
# E above lowest polymorph: 215.2 meV per atom
# Formation enthalpy at 0 K: -12.9 kJ per mole of atoms
# Theoretical density: 12.7 Mg/m³

# Sr3CaO4 | Alexandria | PBE | optimized geometry
data_Sr3CaO4
_cell_length_a 7.2427
_cell_length_b 10.2341
_cell_length_c 3.6194
_cell_angle_alpha 90.00
_cell_angle_beta 90.00
_cell_angle_gamma 90.00
_space_group_name_H-M_alt 'C m m m'
_space_group_IT_number 65
_space_group_name_Hall '-C 2 2'
loop_
_atom_site_label
_atom_site_fract_x
_atom_site_fract_y
_atom_site_fract_z
Sr1 0.0000 0.0000 0.0000
Sr2 0.2500 0.2500 0.5000
Ca1 0.0000 0.5000 0.0000
O1 0.0000 0.2549 0.0000
O2 0.2414 0.5000 0.5000
# Formation energy without anion corrections: -2.764 eV per atom
# Theoretical density: 4.5 Mg/m³

# RuSeI2O | Alexandria | PBE | optimized geometry
data_RuSeI2O
_cell_length_a 5.7937
_cell_length_b 5.7937
_cell_length_c 3.7659
_cell_angle_alpha 90.00
_cell_angle_beta 90.00
_cell_angle_gamma 90.00
_space_group_name_H-M_alt 'P 4/m m m'
_space_group_IT_number 123
_space_group_name_Hall '-P 4 2'
loop_
_atom_site_label
_atom_site_fract_x
_atom_site_fract_y
_atom_site_fract_z
Ru1 0.0000 0.0000 0.0000
Se1 0.5000 0.5000 0.5000
I1 0.0000 0.5000 0.5000
O1 0.5000 0.5000 0.0000
# Formation energy without anion corrections: 0.747 eV per atom
# E above lowest polymorph: 634.5 meV per atom
# Theoretical density: 5.9 Mg/m³

For the records above, the corresponding total magnetization values read 0.000; 0.000; 0.000; 0.000; 0.000; 0.599 μB/atom.